No. 1
Ni2IrRh4 | PBE | relaxed

Computed properties:
* DOS at the Fermi energy: 12.6 states/eV per cell
* space-group type: No. 139

abc: 7.4417 5.2610 5.2610
angles: 59.99 44.99 44.99
Fractional coordinates of all 7 atoms:
Ni (0.0000, 0.5000, 0.5000)
Ni (0.5000, 0.5000, 0.5000)
Rh (0.9999, 0.0001, 0.5000)
Rh (0.5001, 0.9999, 0.5000)
Rh (0.0001, 0.5000, 0.9999)
Rh (0.4999, 0.5000, 0.0001)
Ir (0.0000, 0.0000, 0.0000)

---

No. 2
Ni3Ir6Rh | PBE | relaxed

Computed properties:
* DOS at the Fermi energy: 30.1 states/eV per cell
* space-group type: No. 11

abc: 2.6998 9.7823 10.5942
angles: 100.96 90.00 90.00
Fractional coordinates of all 20 atoms:
Ir (0.7500, 0.1261, 0.4844)
Ir (0.7500, 0.4981, 0.6871)
Ir (0.7500, 0.7759, 0.7160)
Ir (0.7500, 0.3472, 0.1198)
Ir (0.7500, 0.7312, 0.3034)
Ir (0.2500, 0.2241, 0.2840)
Ir (0.7500, 0.8085, 0.0745)
Ir (0.2500, 0.5019, 0.3129)
Ir (0.2500, 0.2688, 0.6966)
Ir (0.2500, 0.1915, 0.9255)
Ir (0.2500, 0.8739, 0.5156)
Ir (0.2500, 0.6528, 0.8802)
Ni (0.7500, 0.6264, 0.5037)
Ni (0.7500, 0.0745, 0.0928)
Ni (0.2500, 0.3736, 0.4963)
Ni (0.7500, 0.4179, 0.9029)
Ni (0.2500, 0.5821, 0.0971)
Ni (0.2500, 0.9255, 0.9072)
Rh (0.2500, 0.9598, 0.2794)
Rh (0.7500, 0.0402, 0.7206)

---

No. 3
NiIr4Rh | PBE | relaxed

Computed properties:
* DOS at the Fermi energy: 12.8 states/eV per cell
* space-group type: No. 216

abc: 5.1146 5.1146 5.1146
angles: 60.00 60.00 60.00
Fractional coordinates of all 6 atoms:
Ir (0.3751, 0.3751, 0.3751)
Ir (0.8747, 0.3751, 0.3751)
Ir (0.3751, 0.3751, 0.8747)
Ir (0.3751, 0.8747, 0.3751)
Ni (0.7500, 0.7500, 0.7500)
Rh (0.0000, 0.0000, 0.0000)

---

No. 4
NiIr5Rh4 | PBE | relaxed

Computed properties:
* DOS at the Fermi energy: 11.0 states/eV per cell
* space-group type: No. 123

abc: 2.7255 2.7255 18.9256
angles: 90.00 90.00 90.00
Fractional coordinates of all 10 atoms:
Ir (0.5000, 0.5000, 0.0924)
Ir (0.5000, 0.5000, 0.5000)
Ir (0.5000, 0.5000, 0.9076)
Ir (0.5000, 0.5000, 0.7043)
Ir (0.5000, 0.5000, 0.2957)
Rh (0.0000, 0.0000, 0.6019)
Rh (0.0000, 0.0000, 0.1938)
Rh (0.0000, 0.0000, 0.8062)
Rh (0.0000, 0.0000, 0.3981)
Ni (0.0000, 0.0000, 0.0000)

---

No. 5
NiIr2Rh4 | PBE | relaxed

Computed properties:
* DOS at the Fermi energy: 12.0 states/eV per cell
* space-group type: No. 139

abc: 5.4337 5.2385 5.2385
angles: 74.40 58.76 58.76
Fractional coordinates of all 7 atoms:
Rh (0.0001, 0.5000, 0.9999)
Rh (0.5001, 0.9999, 0.5000)
Rh (0.9999, 0.0001, 0.5000)
Rh (0.4999, 0.5000, 0.0001)
Ir (0.0000, 0.5000, 0.5000)
Ir (0.5000, 0.5000, 0.5000)
Ni (0.0000, 0.0000, 0.0000)

---

No. 6
NiIrRh2 | PBE | relaxed

Computed properties:
* DOS at the Fermi energy: 5.9 states/eV per cell
* space-group type: No. 123

abc: 2.7162 2.7162 7.3554
angles: 90.00 90.00 90.00
Fractional coordinates of all 4 atoms:
Rh (0.0000, 0.0000, 0.5087)
Rh (0.0000, 0.0000, 0.9913)
Ir (0.5000, 0.5000, 0.2500)
Ni (0.5000, 0.5000, 0.7500)

---

No. 7
Ni2IrRh | PBE | relaxed

Computed properties:
* DOS at the Fermi energy: 14.8 states/eV per cell
* space-group type: No. 122

abc: 6.5641 6.5641 5.3163
angles: 51.88 51.88 90.00
Fractional coordinates of all 8 atoms:
Rh (0.2500, 0.7500, 0.5000)
Rh (0.5000, 0.5000, 0.0000)
Ni (0.1195, 0.6250, 0.2500)
Ni (0.6305, 0.1250, 0.2500)
Ni (0.8750, 0.8805, 0.7500)
Ni (0.3750, 0.3695, 0.7500)
Ir (0.0000, 0.0000, 0.0000)
Ir (0.7500, 0.2500, 0.5000)

---

No. 8
Ni2IrRh | PBE | relaxed

Computed properties:
* DOS at the Fermi energy: 7.1 states/eV per cell
* space-group type: No. 10

abc: 4.4823 5.2146 4.6216
angles: 72.68 69.70 30.67
Fractional coordinates of all 4 atoms:
Ir (0.4261, 0.6212, 0.1196)
Ni (0.9261, 0.6211, 0.6197)
Ni (0.4260, 0.1212, 0.1196)
Rh (0.9262, 0.1211, 0.6196)

---

What ΔE_f values result from the calculations? In sequence: 0.251; 0.109; 0.660; 0.006; 0.416; 0.022; 0.561; 0.044 eV per atom.